LaCo2SbO | GGA+U | optimized geometry

abc: 4.2410 4.2410 6.7390
angles: 90.00 90.00 90.00
Positions (direct):
La: 0.0000 0.0000 0.0000
Co: 0.0000 0.5000 0.0000
Co: 0.5000 0.0000 0.0000
Sb: 0.0000 0.0000 0.5000
O: 0.5000 0.5000 0.5000

Computed properties:
space group	P4/mmm, No. 123
VASP energy	-2.98	eV/atom